# Sm2Tm2Cd15

A relaxed Sm2Tm2Cd15 crystal (PBE-GGA, Alexandria).

Values from the calculation:
E_tot in eV per atom: -1.815
Space-group type: R-3m, No. 166

abc: 7.8619 7.8619 7.8619
angles: 79.11 79.11 79.11
Closest atoms and distances in Å follow each position.
Sites, in units of the cell vectors:
Cd 0.1502 0.6282 0.6282  6 Cd 2.94-3.00
Cd 0.0000 0.7069 0.2931  6 Cd 2.93-3.06
Cd 0.2931 0.7069 0.0000  6 Cd 2.93-3.06
Cd 0.0000 0.5000 0.0000  8 Cd 3.00-3.06, 2 Tm 3.09
Cd 0.0000 0.2931 0.7069  6 Cd 2.93-3.06
Cd 0.0000 0.0000 0.5000  8 Cd 3.00-3.06, 2 Tm 3.09
Cd 0.3718 0.8498 0.3718  6 Cd 2.94-3.00
Cd 0.6282 0.1502 0.6282  6 Cd 2.94-3.00
Cd 0.2931 0.0000 0.7069  6 Cd 2.93-3.06
Cd 0.5000 0.0000 0.0000  8 Cd 3.00-3.06, 2 Tm 3.09
Cd 0.7069 0.2931 0.0000  6 Cd 2.93-3.06
Cd 0.3718 0.3718 0.8498  6 Cd 2.94-3.00
Cd 0.8498 0.3718 0.3718  6 Cd 2.94-3.00
Cd 0.6282 0.6282 0.1502  6 Cd 2.94-3.00
Cd 0.7069 0.0000 0.2931  6 Cd 2.93-3.06
Sm 0.6775 0.6775 0.6775  15 Cd 3.56-3.82, 1 Tm 3.58
Sm 0.3225 0.3225 0.3225  15 Cd 3.56-3.82, 1 Tm 3.58
Tm 0.0983 0.0983 0.0983  12 Cd 3.09-3.41, 1 Tm 3.14
Tm 0.9017 0.9017 0.9017  12 Cd 3.09-3.41, 1 Tm 3.14